No. 1
The following is a PBE-GGA calculation of an optimized crystal structure of HfCuO, from Alexandria via LeMat-Bulk.

N(E_F) in states/eV per cell: 3.35
Symmetry: R-3m (166)
Raw formation energy in meV/atom: -1544

Lattice parameters (Å, degrees): 3.4815 3.4815 8.2490 77.82 77.82 60.00
Atoms (fractional coordinates):
O: 0.6984 0.6984 0.9047
O: 0.3016 0.3016 0.0953
Cu: 0.8597 0.8597 0.4208
Cu: 0.1403 0.1403 0.5792
Hf: 0.6039 0.6039 0.1882
Hf: 0.3961 0.3961 0.8118



No. 2
The following is a PBE-GGA calculation of an optimized crystal structure of Nd15Sm4Sc, from Alexandria via LeMat-Bulk.

N(E_F) in states/eV per cell: 28.72
DFT total energy in eV/cell: -96.34
Symmetry: P4/mmm (123)

Lattice parameters (Å, degrees): 5.1690 5.1690 25.7769 90.00 90.00 90.00
Atoms (fractional coordinates):
Sm: 0.0000 0.0000 0.8031
Sm: 0.0000 0.0000 0.6011
Sm: 0.0000 0.0000 0.1969
Sm: 0.0000 0.0000 0.3989
Nd: 0.5000 0.5000 0.0000
Nd: 0.0000 0.5000 0.2980
Nd: 0.0000 0.5000 0.9040
Nd: 0.0000 0.5000 0.0960
Nd: 0.5000 0.0000 0.5000
Nd: 0.0000 0.5000 0.7020
Nd: 0.5000 0.0000 0.2980
Nd: 0.5000 0.5000 0.8032
Nd: 0.5000 0.0000 0.0960
Nd: 0.5000 0.5000 0.6009
Nd: 0.5000 0.0000 0.9040
Nd: 0.5000 0.5000 0.3991
Nd: 0.0000 0.5000 0.5000
Nd: 0.5000 0.0000 0.7020
Nd: 0.5000 0.5000 0.1968
Sc: 0.0000 0.0000 0.0000



No. 3
The following is a PBE-GGA calculation of an optimized crystal structure of BaLiMgPb2, from Alexandria via LeMat-Bulk.

N(E_F) in states/eV per cell: 1.73
DFT total energy in eV/cell: -14.84
Symmetry: I-4m2 (119)

Lattice parameters (Å, degrees): 4.9186 4.9186 7.2305 109.88 109.88 90.00
Atoms (fractional coordinates):
Ba: 0.0000 0.0000 0.0000
Li: 0.2500 0.7500 0.5000
Pb: 0.3790 0.3790 0.7580
Pb: 0.6210 0.6210 0.2420
Mg: 0.7500 0.2500 0.5000



No. 4
The following is a PBE-GGA calculation of an optimized crystal structure of VWBr3, from Alexandria via LeMat-Bulk.

N(E_F) in states/eV per cell: 7.52
Relative energy among the computed polymorphs in meV per atom: 0
Symmetry: Pm-3m (221)
Raw formation energy in meV/atom: 867

Lattice parameters (Å, degrees): 5.1434 5.1434 5.1434 90.00 90.00 90.00
Atoms (fractional coordinates):
Br: 0.5000 0.0000 0.0000
Br: 0.0000 0.0000 0.5000
Br: 0.0000 0.5000 0.0000
V: 0.0000 0.0000 0.0000
W: 0.5000 0.5000 0.5000



No. 5
The following is a PBE-GGA calculation of an optimized crystal structure of BaCuCl, from Alexandria via LeMat-Bulk.

Relative energy among the computed polymorphs in meV per atom: 74
Symmetry: I4mm (107)
Raw formation energy in meV/atom: -800

Lattice parameters (Å, degrees): 5.8154 5.8158 4.1706 68.98 68.99 42.02
Atoms (fractional coordinates):
Ba: 0.9976 0.9976 0.0024
Cu: 0.6596 0.6596 0.3404
Cl: 0.3428 0.3428 0.6572



No. 6
The following is a PBE-GGA calculation of an optimized crystal structure of ErTlAu, from Alexandria via LeMat-Bulk.

N(E_F) in states/eV per cell: 1.43
DFT total energy in eV/cell: -11.57
Symmetry: I4mm (107)

Lattice parameters (Å, degrees): 3.5923 3.5923 6.2211 106.78 106.78 90.00
Atoms (fractional coordinates):
Tl: 0.6262 0.6262 0.2524
Er: 0.9292 0.9292 0.8585
Au: 0.2945 0.2945 0.5891



No. 7
The following is a PBE-GGA calculation of an optimized crystal structure of CdTeS2, from Alexandria via LeMat-Bulk.

N(E_F) in states/eV per cell: 2.05
Relative energy among the computed polymorphs in meV per atom: 411
Symmetry: Fm-3m (225)
Raw formation energy in meV/atom: 306

Lattice parameters (Å, degrees): 4.8820 4.8820 4.8820 60.00 60.00 60.00
Atoms (fractional coordinates):
Cd: 0.0000 0.0000 0.0000
Te: 0.5000 0.5000 0.5000
S: 0.2500 0.2500 0.2500
S: 0.7500 0.7500 0.7500



No. 8
The following is a PBE-GGA calculation of an optimized crystal structure of Ag2SnAs2, from Alexandria via LeMat-Bulk.

N(E_F) in states/eV per cell: 2.15
Relative energy among the computed polymorphs in meV per atom: 48
Symmetry: I4/mmm (139)

Lattice parameters (Å, degrees): 4.0016 4.0016 7.3591 74.22 74.22 90.00
Atoms (fractional coordinates):
Ag: 0.3987 0.3987 0.2026
Ag: 0.6013 0.6013 0.7974
Sn: 0.0000 0.0000 0.0000
As: 0.7500 0.2500 0.5000
As: 0.2500 0.7500 0.5000



No. 9
The following is a PBE-GGA calculation of an optimized crystal structure of KIn3Br8, from Alexandria via LeMat-Bulk.

N(E_F) in states/eV per cell: 0.00
Symmetry: C2/m (12)
Raw formation energy in meV/atom: -957

Lattice parameters (Å, degrees): 7.1847 7.1847 10.6958 89.84 89.84 70.60
Atoms (fractional coordinates):
In: 0.6072 0.6072 0.2483
In: 0.3928 0.3928 0.7517
In: 0.0000 0.0000 0.5000
Br: 0.7722 0.2696 0.7479
Br: 0.7209 0.7209 0.4492
Br: 0.7304 0.2278 0.2521
Br: 0.2791 0.2791 0.5508
Br: 0.7124 0.7124 0.0412
Br: 0.2278 0.7304 0.2521
Br: 0.2876 0.2876 0.9588
Br: 0.2696 0.7722 0.7479
K: 0.0000 0.0000 0.0000



No. 10
The following is a PBE-GGA calculation of an optimized crystal structure of Ac12Sm3Tm, from Alexandria via LeMat-Bulk.

N(E_F) in states/eV per cell: 24.68
DFT total energy in eV/cell: -67.42
Symmetry: P4/mmm (123)

Lattice parameters (Å, degrees): 5.5062 5.5062 21.9907 90.00 90.00 90.00
Atoms (fractional coordinates):
Ac: 0.0000 0.5000 0.8763
Ac: 0.5000 0.5000 0.7509
Ac: 0.0000 0.5000 0.6256
Ac: 0.5000 0.5000 0.2491
Ac: 0.5000 0.5000 0.5000
Ac: 0.0000 0.5000 0.1237
Ac: 0.0000 0.5000 0.3744
Ac: 0.5000 0.0000 0.6256
Ac: 0.5000 0.0000 0.1237
Ac: 0.5000 0.5000 0.0000
Ac: 0.5000 0.0000 0.3744
Ac: 0.5000 0.0000 0.8763
Tm: 0.0000 0.0000 0.0000
Sm: 0.0000 0.0000 0.2489
Sm: 0.0000 0.0000 0.7511
Sm: 0.0000 0.0000 0.5000



No. 11
The following is a PBE-GGA calculation of an optimized crystal structure of GdInCuIr, from Alexandria via LeMat-Bulk.

N(E_F) in states/eV per cell: 3.23
DFT total energy in eV/cell: -31.15
Symmetry: F-43m (216)

Lattice parameters (Å, degrees): 4.7632 4.7632 4.7632 60.00 60.00 60.00
Atoms (fractional coordinates):
Cu: 0.2500 0.2500 0.2500
Gd: 0.5000 0.5000 0.5000
Ir: 0.7500 0.7500 0.7500
In: 0.0000 0.0000 0.0000



No. 12
The following is a PBE-GGA calculation of an optimized crystal structure of CdGe2Sb2, from Alexandria via LeMat-Bulk.

N(E_F) in states/eV per cell: 4.58
Relative energy among the computed polymorphs in meV per atom: 26
Symmetry: P4/mbm (127)
Raw formation energy in meV/atom: 239

Lattice parameters (Å, degrees): 8.1018 8.1018 3.7323 90.00 90.00 90.00
Atoms (fractional coordinates):
Ge: 0.1355 0.3645 0.0000
Ge: 0.3645 0.8645 0.0000
Ge: 0.8645 0.6355 0.0000
Ge: 0.6355 0.1355 0.0000
Sb: 0.3446 0.1554 0.5000
Sb: 0.6554 0.8446 0.5000
Sb: 0.8446 0.3446 0.5000
Sb: 0.1554 0.6554 0.5000
Cd: 0.5000 0.5000 0.0000
Cd: 0.0000 0.0000 0.0000



no.,size of the total moment (Bohr magnetons per cell)
1,0.00
2,0.00
3,0.00
4,8.00
5,0.00
6,0.00
7,0.00
8,0.00
9,0.00
10,0.00
11,7.24
12,0.00